Computed, not measured: a relaxed Zr3CuSn5 crystal at the PBE level of DFT.

Structure (CIF):
```
data_Zr3CuSn5
_chemical_formula_sum 'Zr3 Cu1 Sn5'
_cell_length_a 6.0057
_cell_length_b 6.0057
_cell_length_c 7.7481
_cell_angle_alpha 90.00
_cell_angle_beta 90.00
_cell_angle_gamma 120.00
_space_group_name_H-M_alt 'P 6/m m m'
_space_group_IT_number 191
_space_group_name_Hall '-P 6 2'
loop_
_atom_site_label
_atom_site_type_symbol
_atom_site_fract_x
_atom_site_fract_y
_atom_site_fract_z
Zr1 Zr 0.0000 0.5000 0.0000
Cu1 Cu 0.0000 0.0000 0.5000
Sn1 Sn 0.0000 0.0000 0.0000
Sn2 Sn 0.3333 0.6667 0.3211
```

Computed, not measured: a relaxed ZrCuSn crystal at the PBE level of DFT.

Structure (CIF):
```
data_ZrCuSn
_chemical_formula_sum 'Zr4 Cu4 Sn4'
_cell_length_a 6.694
_cell_length_b 4.364
_cell_length_c 7.750
_cell_angle_alpha 90.00
_cell_angle_beta 90.00
_cell_angle_gamma 90.00
_space_group_name_H-M_alt 'P n m a'
_space_group_IT_number 62
loop_
_space_group_symop_operation_xyz
'x,y,z'
'-x,-y,-z'
'-x+1/2,-y,z+1/2'
'x+1/2,y,-z+1/2'
'x+1/2,-y+1/2,-z+1/2'
'-x+1/2,y+1/2,z+1/2'
'-x,y+1/2,-z'
'x,-y+1/2,z'
loop_
_atom_site_label
_atom_site_type_symbol
_atom_site_fract_x
_atom_site_fract_y
_atom_site_fract_z
Zr1 Zr 0.000 0.250 0.214
Cu1 Cu 0.195 0.250 0.586
Sn1 Sn 0.221 0.750 0.413
```

Computed, not measured: a relaxed Zr5CuSn3 crystal at the PBE level of DFT.

Structure (CIF):
```
data_Zr5CuSn3
_chemical_formula_sum 'Zr10 Cu2 Sn6'
_cell_length_a 8.6769
_cell_length_b 8.6769
_cell_length_c 5.8817
_cell_angle_alpha 90.00
_cell_angle_beta 90.00
_cell_angle_gamma 120.00
_space_group_name_H-M_alt 'P 63/m c m'
_space_group_IT_number 193
_space_group_name_Hall '-P 6c 2'
loop_
_atom_site_label
_atom_site_type_symbol
_atom_site_fract_x
_atom_site_fract_y
_atom_site_fract_z
Zr1 Zr 0.0000 0.2652 0.2500
Zr2 Zr 0.3333 0.6667 0.0000
Cu1 Cu 0.0000 0.0000 0.0000
Sn1 Sn 0.0000 0.3849 0.7500
```

Computed, not measured: a relaxed Zr3Cu4Sn4 crystal at the PBE level of DFT.

Structure (CIF):
```
data_Zr3Cu4Sn4
_chemical_formula_sum 'Zr6 Cu8 Sn8'
_cell_length_a 4.282
_cell_length_b 6.827
_cell_length_c 14.113
_cell_angle_alpha 90.00
_cell_angle_beta 90.00
_cell_angle_gamma 90.00
_space_group_name_H-M_alt 'I m m m'
_space_group_IT_number 71
_space_group_name_Hall '-I 2 2'
loop_
_atom_site_label
_atom_site_type_symbol
_atom_site_fract_x
_atom_site_fract_y
_atom_site_fract_z
Zr1 Zr 0.000 0.000 0.000
Zr2 Zr 0.000 0.500 0.126
Cu1 Cu 0.000 0.308 0.328
Sn1 Sn 0.000 0.000 0.215
Sn2 Sn 0.000 0.208 0.500
```

Values from the calculation:
As for the polymorph energy (0 for the lowest one): 0.000 eV per formula unit.

Computed, not measured: a relaxed SrCu2 crystal at the PBE level of DFT.

Structure (CIF):
```
data_SrCu2
_chemical_formula_sum 'Sr8 Cu16'
_cell_length_a 5.5977
_cell_length_b 5.5977
_cell_length_c 17.6160
_cell_angle_alpha 90.00
_cell_angle_beta 90.00
_cell_angle_gamma 120.00
_space_group_name_H-M_alt 'P 63/m m c'
_space_group_IT_number 194
_space_group_name_Hall '-P 6c 2c'
loop_
_atom_site_label
_atom_site_type_symbol
_atom_site_fract_x
_atom_site_fract_y
_atom_site_fract_z
Sr1 Sr 0.0000 0.0000 0.0980
Sr2 Sr 0.3333 0.6667 0.1552
Cu1 Cu 0.0000 0.5000 0.0000
Cu2 Cu 0.1819 0.3638 0.7500
Cu3 Cu 0.3333 0.6667 0.6197
```

Computed, not measured: a relaxed SrCu crystal at the PBE level of DFT.

Structure (CIF):
```
data_SrCu
_chemical_formula_sum 'Sr2 Cu2'
_cell_length_a 4.6296
_cell_length_b 4.6296
_cell_length_c 6.4040
_cell_angle_alpha 90.00
_cell_angle_beta 90.00
_cell_angle_gamma 120.00
_space_group_name_H-M_alt 'P 63/m m c'
_space_group_IT_number 194
_space_group_name_Hall '-P 6c 2c'
loop_
_atom_site_label
_atom_site_type_symbol
_atom_site_fract_x
_atom_site_fract_y
_atom_site_fract_z
Sr1 Sr 0.3333 0.6667 0.2500
Cu1 Cu 0.0000 0.0000 0.0000
```

Number 1: energy -5.342 eV/atom. Number 2: energy -5.817 eV/atom. Number 3: energy -7.039 eV/atom. Number 4: energy -5.404 eV/atom. Number 5: energy -3.020 eV/atom. Number 6: energy -2.641 eV/atom.